## CeYGaIr (PBE)

Data for CeYGaIr after structural relaxation.

abc: 5.010 5.010 5.010
angles: 60.00 60.00 60.00
Each line ends with the local moment (μB).
Fractional positions:
Y 0.750 0.750 0.750  0.01
Ir 0.000 0.000 0.000  -0.01
Ga 0.500 0.500 0.500  0.00
Ce 0.250 0.250 0.250  0.24

Results
As for the total energy: -26.6 eV for the cell shown. The calculation puts the energy above the most stable polymorph in this dataset at 10.1 kJ per mole of atoms. For the formation energy, the calculation gives -0.5775 eV/atom. As for the calculated volume: 22.2 A^3/atom. The total moment comes out at 0.3 μB per cell.